Below is a relaxed structure of CoHg2BCl, with properties calculated at the GGA-PBE level.

Values from the calculation:
spin magnetization = 0.50 μB/f.u.
crystal system = tetragonal
VASP energy = -13.78 eV for the cell shown
space group = P4/mmm, No. 123

abc: 5.1911 3.8067 5.1911
angles: 90.00 90.00 90.00
Sites, in units of the cell vectors:
B1 0.0000 0.5000 0.0000
Hg1 0.5000 0.0000 0.0000
Hg2 0.0000 0.0000 0.5000
Co1 0.0000 0.0000 0.0000
Cl1 0.5000 0.5000 0.5000

Below is a relaxed structure of Ac4CdIr2, with properties calculated at the GGA-PBE level.

Values from the calculation:
spin magnetization = 0.00 μB/f.u.
crystal system = trigonal
VASP energy = -38.82 eV for the cell shown
space group = R-3m, No. 166
energy of formation = -0.536 eV/atom

abc: 4.3727 4.3727 15.6123
angles: 81.95 81.95 60.00
Sites, in units of the cell vectors:
Ir1 0.5752 0.5752 0.2744
Ir2 0.4248 0.4248 0.7256
Ac1 0.1252 0.1252 0.6243
Ac2 0.8748 0.8748 0.3757
Ac3 0.2771 0.2771 0.1687
Ac4 0.7229 0.7229 0.8313
Cd1 0.0000 0.0000 0.0000

Below is a relaxed structure of KLi2Tl2, with properties calculated at the GGA-PBE level.

Values from the calculation:
spin magnetization = 0.00 μB/f.u.
crystal system = orthorhombic
VASP energy = -9.84 eV for the cell shown
E above lowest polymorph = 87.9 meV per atom
space group = Cmmm, No. 65
energy of formation = -0.037 eV/atom

abc: 4.3330 4.3330 8.1316
angles: 90.00 90.00 107.12
Sites, in units of the cell vectors:
Tl1 0.5000 0.5000 0.2897
Tl2 0.5000 0.5000 0.7103
Li1 0.8212 0.1788 0.5000
Li2 0.1788 0.8212 0.5000
K1 0.0000 0.0000 0.0000

Below is a relaxed structure of Ho, with properties calculated at the GGA-PBE level.

Values from the calculation:
spin magnetization = 0.00 μB/f.u.
crystal system = hexagonal
VASP energy = -13.52 eV for the cell shown
E above lowest polymorph = 72.3 meV per atom
space group = P6/mmm, No. 191
energy of formation = 0.072 eV/atom

abc: 3.4539 5.5472 5.5472
angles: 120.00 90.00 90.00
Sites, in units of the cell vectors:
Ho1 0.0000 0.0000 0.0000
Ho2 0.5000 0.3333 0.6667
Ho3 0.5000 0.6667 0.3333

Below is a relaxed structure of Na12Hg3Pb, with properties calculated at the GGA-PBE level.

Values from the calculation:
spin magnetization = 0.00 μB/f.u.
crystal system = tetragonal
VASP energy = -22.54 eV for the cell shown
space group = P4/mmm, No. 123
energy of formation = -0.131 eV/atom

abc: 4.9112 4.9112 19.4425
angles: 90.00 90.00 90.00
Sites, in units of the cell vectors:
Hg1 0.0000 0.0000 0.5000
Hg2 0.0000 0.0000 0.2493
Hg3 0.0000 0.0000 0.7507
Na1 0.5000 0.5000 0.0000
Na2 0.5000 0.0000 0.8745
Na3 0.5000 0.5000 0.5000
Na4 0.0000 0.5000 0.3760
Na5 0.5000 0.0000 0.3760
Na6 0.5000 0.0000 0.1255
Na7 0.5000 0.5000 0.7480
Na8 0.5000 0.5000 0.2520
Na9 0.0000 0.5000 0.6240
Na10 0.0000 0.5000 0.8745
Na11 0.0000 0.5000 0.1255
Na12 0.5000 0.0000 0.6240
Pb1 0.0000 0.0000 0.0000

Below is a relaxed structure of ScCuSiH, with properties calculated at the GGA-PBE level.

Values from the calculation:
spin magnetization = 0.00 μB/f.u.
crystal system = tetragonal
VASP energy = -42.73 eV for the cell shown
space group = P4/nmm, No. 129

abc: 3.7816 3.7816 6.8018
angles: 90.00 90.00 90.00
Sites, in units of the cell vectors:
Cu1 0.0000 0.0000 0.5000
Cu2 0.5000 0.5000 0.5000
Si1 0.5000 0.0000 0.7134
Si2 0.0000 0.5000 0.2866
H1 0.5000 0.5000 0.0000
H2 0.0000 0.0000 0.0000
Sc1 0.5000 0.0000 0.1469
Sc2 0.0000 0.5000 0.8531

Below is a relaxed structure of TiGaBr2, with properties calculated at the GGA-PBE level.

Values from the calculation:
spin magnetization = 0.47 μB/f.u.
crystal system = trigonal
VASP energy = -16.50 eV for the cell shown
E above lowest polymorph = 0.0 meV per atom
space group = R-3m, No. 166

abc: 10.1395 10.1395 10.1395
angles: 19.29 19.29 19.29
Sites, in units of the cell vectors:
Br1 0.8919 0.8919 0.8919
Br2 0.1081 0.1081 0.1081
Ga1 0.0000 0.0000 0.0000
Ti1 0.5000 0.5000 0.5000

Below is a relaxed structure of PbCl, with properties calculated at the GGA-PBE level.

Values from the calculation:
spin magnetization = 0.00 μB/f.u.
crystal system = monoclinic
VASP energy = -13.61 eV for the cell shown
space group = C2/m, No. 12

abc: 5.9522 7.0042 3.5576
angles: 75.29 72.61 54.33
Sites, in units of the cell vectors:
Pb1 0.5009 0.0539 0.2226
Pb2 0.4158 0.5295 0.5274
Cl1 0.8957 0.5864 0.7589
Cl2 0.0209 0.9969 0.9911

Below is a relaxed structure of KTl2Ag, with properties calculated at the GGA-PBE level.

Values from the calculation:
spin magnetization = 0.00 μB/f.u.
crystal system = trigonal
VASP energy = -8.61 eV for the cell shown
space group = R-3m, No. 166
energy of formation = 0.018 eV/atom

abc: 7.4548 7.4548 7.4548
angles: 37.09 37.09 37.09
Sites, in units of the cell vectors:
Tl1 0.9717 0.9717 0.9717
Tl2 0.5283 0.5283 0.5283
Ag1 0.2500 0.2500 0.2500
K1 0.7500 0.7500 0.7500

Below is a relaxed structure of Mg2HPb, with properties calculated at the GGA-PBE level.

Values from the calculation:
spin magnetization = 0.00 μB/f.u.
crystal system = tetragonal
VASP energy = -9.31 eV for the cell shown
E above lowest polymorph = 209.7 meV per atom
space group = P4/mmm, No. 123

abc: 3.3040 3.3040 7.2761
angles: 90.00 90.00 90.00
Sites, in units of the cell vectors:
Mg1 0.0000 0.0000 0.8065
Mg2 0.0000 0.0000 0.1935
Pb1 0.5000 0.5000 0.5000
H1 0.5000 0.5000 0.0000

Below is a relaxed structure of ZrScB2Os, with properties calculated at the GGA-PBE level.

Values from the calculation:
spin magnetization = 0.00 μB/f.u.
crystal system = tetragonal
VASP energy = -32.19 eV for the cell shown
space group = P4/mmm, No. 123
energy of formation = 1.455 eV/atom

abc: 4.2197 4.7670 4.2197
angles: 90.00 90.00 90.00
Sites, in units of the cell vectors:
B1 0.5000 0.0000 0.0000
B2 0.0000 0.0000 0.5000
Os1 0.0000 0.5000 0.0000
Zr1 0.5000 0.5000 0.5000
Sc1 0.0000 0.0000 0.0000

Below is a relaxed structure of TaV3Ru4, with properties calculated at the GGA-PBE level.

Values from the calculation:
spin magnetization = 2.53 μB/f.u.
crystal system = trigonal
VASP energy = -78.29 eV for the cell shown
space group = R-3m, No. 166
energy of formation = -0.248 eV/atom

abc: 4.3202 4.3202 7.5513
angles: 73.38 73.38 60.00
Sites, in units of the cell vectors:
Ru1 0.8781 0.8781 0.3658
Ru2 0.1219 0.1219 0.6342
Ru3 0.6253 0.6253 0.1242
Ru4 0.3747 0.3747 0.8758
V1 0.7590 0.7590 0.7232
V2 0.2410 0.2410 0.2768
V3 0.5000 0.5000 0.5000
Ta1 0.0000 0.0000 0.0000